*w*
! SrCd3Pb | the Alexandria database | GGA-PBE | relaxed; values from VASP
&SYSTEM
  ibrav = 0, nat = 5, ntyp = 3
/
ATOMIC_SPECIES
Sr 87.62 Sr.upf
Cd 112.41 Cd.upf
Pb 207.20 Pb.upf
CELL_PARAMETERS angstrom
6.022 0.000 0.000
0.000 6.022 0.000
0.000 0.000 6.022
ATOMIC_POSITIONS crystal
Sr 0.000 0.000 0.000
Cd 0.000 0.000 0.500
Cd 0.000 0.500 0.000
Cd 0.500 0.000 0.000
Pb 0.500 0.500 0.500
! **Magnetization**: 0.00 μB/cell
! **Mass density**: 4.8 g/cm3
! **SG**: No. 221
! **D(E_F)**: 7.116 states/eV per cell

---

*x*
! SrCd3Pb | the Alexandria database | GGA-PBE | relaxed; values from VASP
&SYSTEM
  ibrav = 0, nat = 20, ntyp = 3
/
ATOMIC_SPECIES
Sr 87.62 Sr.upf
Cd 112.41 Cd.upf
Pb 207.20 Pb.upf
CELL_PARAMETERS angstrom
13.333 0.000 0.000
0.000 6.549 0.000
0.000 0.000 6.656
ATOMIC_POSITIONS crystal
Sr 0.250 0.000 0.009
Sr 0.250 0.500 0.491
Sr 0.750 0.000 0.991
Sr 0.750 0.500 0.509
Cd 0.007 0.250 0.250
Cd 0.146 0.502 0.987
Cd 0.146 0.998 0.513
Cd 0.354 0.002 0.513
Cd 0.354 0.498 0.987
Cd 0.493 0.750 0.250
Cd 0.507 0.250 0.750
Cd 0.646 0.502 0.013
Cd 0.646 0.998 0.487
Cd 0.854 0.002 0.487
Cd 0.854 0.498 0.013
Cd 0.993 0.750 0.750
Pb 0.004 0.750 0.250
Pb 0.496 0.250 0.250
Pb 0.504 0.750 0.750
Pb 0.996 0.250 0.750
! **Magnetization**: 0.00 μB/cell
! **Mass density**: 7.2 g/cm3
! **SG**: No. 52
! **D(E_F)**: 9.550 states/eV per cell

---

Short version: *x* is the most stable of them.

---

*w*
! SrCd3Pb | the Alexandria database | GGA-PBE | relaxed; values from VASP
&SYSTEM
  ibrav = 0, nat = 5, ntyp = 3
/
ATOMIC_SPECIES
Sr 87.62 Sr.upf
Cd 112.41 Cd.upf
Pb 207.20 Pb.upf
CELL_PARAMETERS angstrom
5.755 0.000 0.000
0.000 5.755 0.000
0.000 0.000 5.755
ATOMIC_POSITIONS crystal
Sr 0.000 0.000 0.000
Cd 0.000 0.500 0.500
Cd 0.500 0.000 0.500
Cd 0.500 0.500 0.000
Pb 0.500 0.500 0.500
! **Magnetization**: 0.00 μB/cell
! **Mass density**: 5.5 g/cm3
! **SG**: No. 221
! **D(E_F)**: 3.686 states/eV per cell

---

*x*
! SrCd3Pb | the Alexandria database | GGA-PBE | relaxed; values from VASP
&SYSTEM
  ibrav = 0, nat = 5, ntyp = 3
/
ATOMIC_SPECIES
Sr 87.62 Sr.upf
Cd 112.41 Cd.upf
Pb 207.20 Pb.upf
CELL_PARAMETERS angstrom
0.000 3.344 6.480
3.333 0.000 6.480
3.333 3.344 0.000
ATOMIC_POSITIONS crystal
Sr 0.000 0.000 0.000
Cd 0.255 0.255 0.245
Cd 0.385 0.385 0.615
Cd 0.755 0.755 0.745
Pb 0.609 0.609 0.391
! **Magnetization**: 0.00 μB/cell
! **Mass density**: 7.3 g/cm3
! **SG**: No. 42
! **D(E_F)**: 2.246 states/eV per cell

---

Short version: *x* is the most stable of them.

---

*w*
! SrTlCdPb | the Alexandria database | GGA-PBE | relaxed; values from VASP
&SYSTEM
  ibrav = 0, nat = 4, ntyp = 4
/
ATOMIC_SPECIES
Sr 87.62 Sr.upf
Tl 204.38 Tl.upf
Cd 112.41 Cd.upf
Pb 207.20 Pb.upf
CELL_PARAMETERS angstrom
4.853 0.000 0.000
0.000 4.933 0.000
0.000 0.000 5.024
ATOMIC_POSITIONS crystal
Sr 0.000 0.000 0.000
Tl 0.500 0.000 0.500
Cd 0.000 0.500 0.500
Pb 0.500 0.500 0.000
! **Magnetization**: 0.00 μB/cell
! **Mass density**: 8.4 g/cm3
! **SG**: No. 47
! **D(E_F)**: 2.700 states/eV per cell

---

*x*
! SrTlCdPb | the Alexandria database | GGA-PBE | relaxed; values from VASP
&SYSTEM
  ibrav = 0, nat = 16, ntyp = 4
/
ATOMIC_SPECIES
Sr 87.62 Sr.upf
Tl 204.38 Tl.upf
Cd 112.41 Cd.upf
Pb 207.20 Pb.upf
CELL_PARAMETERS angstrom
7.902 0.000 0.000
0.000 7.902 0.000
0.000 0.000 7.902
ATOMIC_POSITIONS crystal
Sr 0.000 0.000 0.000
Sr 0.000 0.500 0.500
Sr 0.500 0.000 0.500
Sr 0.500 0.500 0.000
Tl 0.250 0.250 0.750
Tl 0.250 0.750 0.250
Tl 0.750 0.250 0.250
Tl 0.750 0.750 0.750
Cd 0.250 0.250 0.250
Cd 0.250 0.750 0.750
Cd 0.750 0.250 0.750
Cd 0.750 0.750 0.250
Pb 0.000 0.000 0.500
Pb 0.000 0.500 0.000
Pb 0.500 0.000 0.000
Pb 0.500 0.500 0.500
! **Magnetization**: 0.00 μB/cell
! **Mass density**: 8.2 g/cm3
! **SG**: No. 216
! **D(E_F)**: 15.400 states/eV per cell

---

Short version: *w* is the most stable of them.

---

*w*
! TaCdPb | the Alexandria database | GGA-PBE | relaxed; values from VASP
&SYSTEM
  ibrav = 0, nat = 12, ntyp = 3
/
ATOMIC_SPECIES
Ta 180.95 Ta.upf
Cd 112.41 Cd.upf
Pb 207.20 Pb.upf
CELL_PARAMETERS angstrom
4.117 0.000 0.000
0.000 4.454 0.000
0.000 0.000 15.691
ATOMIC_POSITIONS crystal
Ta 0.000 0.000 0.000
Ta 0.000 0.500 0.500
Ta 0.500 0.000 0.500
Ta 0.500 0.500 0.000
Cd 0.000 0.000 0.365
Cd 0.000 0.500 0.865
Cd 0.500 0.000 0.865
Cd 0.500 0.500 0.365
Pb 0.000 0.000 0.654
Pb 0.000 0.500 0.154
Pb 0.500 0.000 0.154
Pb 0.500 0.500 0.654
! **Magnetization**: 0.00 μB/cell
! **Mass density**: 11.6 g/cm3
! **SG**: No. 42
! **D(E_F)**: 4.728 states/eV per cell

---

*x*
! TaCdPb | the Alexandria database | GGA-PBE | relaxed; values from VASP
&SYSTEM
  ibrav = 0, nat = 3, ntyp = 3
/
ATOMIC_SPECIES
Ta 180.95 Ta.upf
Cd 112.41 Cd.upf
Pb 207.20 Pb.upf
CELL_PARAMETERS angstrom
3.185 0.000 0.000
-1.593 2.758 0.000
0.000 0.000 7.778
ATOMIC_POSITIONS crystal
Ta 0.000 0.000 0.000
Cd 0.667 0.333 0.304
Pb 0.333 0.667 0.675
! **Magnetization**: 0.00 μB/cell
! **Mass density**: 12.2 g/cm3
! **SG**: No. 156
! **D(E_F)**: 2.477 states/eV per cell

---

*y*
! TaCdPb | the Alexandria database | GGA-PBE | relaxed; values from VASP
&SYSTEM
  ibrav = 0, nat = 12, ntyp = 3
/
ATOMIC_SPECIES
Ta 180.95 Ta.upf
Cd 112.41 Cd.upf
Pb 207.20 Pb.upf
CELL_PARAMETERS angstrom
6.820 0.000 0.000
0.000 6.820 0.000
0.000 0.000 6.820
ATOMIC_POSITIONS crystal
Ta 0.000 0.000 0.000
Ta 0.000 0.500 0.500
Ta 0.500 0.000 0.500
Ta 0.500 0.500 0.000
Cd 0.000 0.000 0.500
Cd 0.000 0.500 0.000
Cd 0.500 0.000 0.000
Cd 0.500 0.500 0.500
Pb 0.250 0.250 0.250
Pb 0.250 0.750 0.750
Pb 0.750 0.250 0.750
Pb 0.750 0.750 0.250
! **Magnetization**: 9.96 μB/cell
! **Mass density**: 10.5 g/cm3
! **SG**: No. 216
! **D(E_F)**: 9.526 states/eV per cell

---

*z*
! TaCdPb | the Alexandria database | GGA-PBE | relaxed; values from VASP
&SYSTEM
  ibrav = 0, nat = 12, ntyp = 3
/
ATOMIC_SPECIES
Ta 180.95 Ta.upf
Cd 112.41 Cd.upf
Pb 207.20 Pb.upf
CELL_PARAMETERS angstrom
6.813 0.000 0.000
0.000 6.813 0.000
0.000 0.000 6.813
ATOMIC_POSITIONS crystal
Ta 0.000 0.000 0.000
Ta 0.000 0.500 0.500
Ta 0.500 0.000 0.500
Ta 0.500 0.500 0.000
Cd 0.250 0.250 0.750
Cd 0.250 0.750 0.250
Cd 0.750 0.250 0.250
Cd 0.750 0.750 0.750
Pb 0.250 0.250 0.250
Pb 0.250 0.750 0.750
Pb 0.750 0.250 0.750
Pb 0.750 0.750 0.250
! **Magnetization**: 4.36 μB/cell
! **Mass density**: 10.5 g/cm3
! **SG**: No. 216
! **D(E_F)**: 16.343 states/eV per cell

---

Short version: *w* is the most stable of them.

---

*w*
! TbCdPb3 | the Alexandria database | GGA-PBE | relaxed; values from VASP
&SYSTEM
  ibrav = 0, nat = 10, ntyp = 3
/
ATOMIC_SPECIES
Tb 158.93 Tb.upf
Cd 112.41 Cd.upf
Pb 207.20 Pb.upf
CELL_PARAMETERS angstrom
5.400 0.000 0.000
0.000 6.533 0.000
0.000 0.000 8.861
ATOMIC_POSITIONS crystal
Tb 0.250 0.250 0.108
Tb 0.750 0.750 0.892
Cd 0.250 0.750 0.430
Cd 0.750 0.250 0.570
Pb 0.250 0.002 0.731
Pb 0.250 0.498 0.731
Pb 0.250 0.750 0.087
Pb 0.750 0.250 0.913
Pb 0.750 0.502 0.269
Pb 0.750 0.998 0.269
! **Magnetization**: 0.00 μB/cell
! **Mass density**: 9.5 g/cm3
! **SG**: No. 59
! **D(E_F)**: 5.127 states/eV per cell

---

*x*
! TbCdPb3 | the Alexandria database | GGA-PBE | relaxed; values from VASP
&SYSTEM
  ibrav = 0, nat = 5, ntyp = 3
/
ATOMIC_SPECIES
Tb 158.93 Tb.upf
Cd 112.41 Cd.upf
Pb 207.20 Pb.upf
CELL_PARAMETERS angstrom
4.564 0.000 0.000
2.248 5.572 0.000
2.268 -0.606 5.592
ATOMIC_POSITIONS crystal
Tb 0.000 0.000 0.000
Cd 0.406 0.788 0.397
Pb 0.196 0.418 0.186
Pb 0.627 0.156 0.588
Pb 0.805 0.585 0.807
! **Magnetization**: 0.00 μB/cell
! **Mass density**: 10.4 g/cm3
! **SG**: No. 1
! **D(E_F)**: 2.487 states/eV per cell

---

Short version: *x* is the most stable of them.

---

*w*
! TbCd2Pb | the Alexandria database | GGA-PBE | relaxed; values from VASP
&SYSTEM
  ibrav = 0, nat = 16, ntyp = 3
/
ATOMIC_SPECIES
Tb 158.93 Tb.upf
Cd 112.41 Cd.upf
Pb 207.20 Pb.upf
CELL_PARAMETERS angstrom
7.514 0.000 0.000
0.000 7.514 0.000
0.000 0.000 7.514
ATOMIC_POSITIONS crystal
Tb 0.000 0.000 0.000
Tb 0.000 0.500 0.500
Tb 0.500 0.000 0.500
Tb 0.500 0.500 0.000
Cd 0.250 0.250 0.250
Cd 0.250 0.250 0.750
Cd 0.250 0.750 0.250
Cd 0.250 0.750 0.750
Cd 0.750 0.250 0.250
Cd 0.750 0.250 0.750
Cd 0.750 0.750 0.250
Cd 0.750 0.750 0.750
Pb 0.000 0.000 0.500
Pb 0.000 0.500 0.000
Pb 0.500 0.000 0.000
Pb 0.500 0.500 0.500
! **Magnetization**: 0.00 μB/cell
! **Mass density**: 9.3 g/cm3
! **SG**: No. 225
! **D(E_F)**: 14.006 states/eV per cell

---

*x*
! TbCd2Pb | the Alexandria database | GGA-PBE | relaxed; values from VASP
&SYSTEM
  ibrav = 0, nat = 4, ntyp = 3
/
ATOMIC_SPECIES
Tb 158.93 Tb.upf
Cd 112.41 Cd.upf
Pb 207.20 Pb.upf
CELL_PARAMETERS angstrom
3.624 0.000 0.000
0.000 3.624 0.000
0.000 0.000 8.142
ATOMIC_POSITIONS crystal
Tb 0.000 0.000 0.000
Cd 0.500 0.500 0.246
Cd 0.500 0.500 0.754
Pb 0.000 0.000 0.500
! **Magnetization**: 0.26 μB/cell
! **Mass density**: 9.2 g/cm3
! **SG**: No. 123
! **D(E_F)**: 2.406 states/eV per cell

---

*y*
! TbCd2Pb | the Alexandria database | GGA-PBE | relaxed; values from VASP
&SYSTEM
  ibrav = 0, nat = 4, ntyp = 3
/
ATOMIC_SPECIES
Tb 158.93 Tb.upf
Cd 112.41 Cd.upf
Pb 207.20 Pb.upf
CELL_PARAMETERS angstrom
4.536 0.000 0.000
0.000 4.536 0.000
0.000 0.000 4.906
ATOMIC_POSITIONS crystal
Tb 0.000 0.000 0.000
Cd 0.000 0.500 0.500
Cd 0.500 0.000 0.500
Pb 0.500 0.500 0.000
! **Magnetization**: 0.00 μB/cell
! **Mass density**: 9.7 g/cm3
! **SG**: No. 123
! **D(E_F)**: 1.470 states/eV per cell

---

Short version: *y* is the most stable of them.

---

*w*
! TbTlCdPb | the Alexandria database | GGA-PBE | relaxed; values from VASP
&SYSTEM
  ibrav = 0, nat = 4, ntyp = 4
/
ATOMIC_SPECIES
Tb 158.93 Tb.upf
Tl 204.38 Tl.upf
Cd 112.41 Cd.upf
Pb 207.20 Pb.upf
CELL_PARAMETERS angstrom
4.561 0.000 0.000
0.000 4.696 0.000
0.000 0.000 4.957
ATOMIC_POSITIONS crystal
Tb 0.000 0.000 0.000
Tl 0.500 0.000 0.500
Cd 0.000 0.500 0.500
Pb 0.500 0.500 0.000
! **Magnetization**: 0.00 μB/cell
! **Mass density**: 10.7 g/cm3
! **SG**: No. 47
! **D(E_F)**: 1.581 states/eV per cell

---

*x*
! TbTlCdPb | the Alexandria database | GGA-PBE | relaxed; values from VASP
&SYSTEM
  ibrav = 0, nat = 16, ntyp = 4
/
ATOMIC_SPECIES
Tb 158.93 Tb.upf
Tl 204.38 Tl.upf
Cd 112.41 Cd.upf
Pb 207.20 Pb.upf
CELL_PARAMETERS angstrom
7.606 0.000 0.000
0.000 7.606 0.000
0.000 0.000 7.606
ATOMIC_POSITIONS crystal
Tb 0.000 0.000 0.000
Tb 0.000 0.500 0.500
Tb 0.500 0.000 0.500
Tb 0.500 0.500 0.000
Tl 0.250 0.250 0.250
Tl 0.250 0.750 0.750
Tl 0.750 0.250 0.750
Tl 0.750 0.750 0.250
Cd 0.000 0.000 0.500
Cd 0.000 0.500 0.000
Cd 0.500 0.000 0.000
Cd 0.500 0.500 0.500
Pb 0.250 0.250 0.750
Pb 0.250 0.750 0.250
Pb 0.750 0.250 0.250
Pb 0.750 0.750 0.750
! **Magnetization**: 0.00 μB/cell
! **Mass density**: 10.3 g/cm3
! **SG**: No. 216
! **D(E_F)**: 6.360 states/eV per cell

---

Short version: *w* is the most stable of them.

---

*w*
! Cd2Te2Pb | the Alexandria database | GGA-PBE | relaxed; values from VASP
&SYSTEM
  ibrav = 0, nat = 10, ntyp = 3
/
ATOMIC_SPECIES
Cd 112.41 Cd.upf
Te 127.60 Te.upf
Pb 207.20 Pb.upf
CELL_PARAMETERS angstrom
8.557 0.000 0.000
0.000 8.557 0.000
0.000 0.000 4.046
ATOMIC_POSITIONS crystal
Cd 0.138 0.362 0.000
Cd 0.362 0.862 0.000
Cd 0.638 0.138 0.000
Cd 0.862 0.638 0.000
Te 0.166 0.666 0.500
Te 0.334 0.166 0.500
Te 0.666 0.834 0.500
Te 0.834 0.334 0.500
Pb 0.000 0.000 0.500
Pb 0.500 0.500 0.500
! **Magnetization**: 0.00 μB/cell
! **Mass density**: 7.7 g/cm3
! **SG**: No. 127
! **D(E_F)**: 3.804 states/eV per cell

---

*x*
! Cd2Te2Pb | the Alexandria database | GGA-PBE | relaxed; values from VASP
&SYSTEM
  ibrav = 0, nat = 10, ntyp = 3
/
ATOMIC_SPECIES
Cd 112.41 Cd.upf
Te 127.60 Te.upf
Pb 207.20 Pb.upf
CELL_PARAMETERS angstrom
5.744 0.000 0.000
0.000 5.744 0.000
0.000 0.000 9.372
ATOMIC_POSITIONS crystal
Cd 0.000 0.000 0.146
Cd 0.000 0.000 0.854
Cd 0.500 0.500 0.354
Cd 0.500 0.500 0.646
Te 0.000 0.500 0.250
Te 0.000 0.500 0.750
Te 0.500 0.000 0.250
Te 0.500 0.000 0.750
Pb 0.000 0.000 0.500
Pb 0.500 0.500 0.000
! **Magnetization**: 0.00 μB/cell
! **Mass density**: 7.4 g/cm3
! **SG**: No. 139
! **D(E_F)**: 4.339 states/eV per cell

---

Short version: *w* is the most stable of them.